Here is a geometry-optimized SrBiAs2Rh5 structure from the Alexandria database. Energies are from PBE-GGA.

Unit cell a=4.1705 b=4.1705 c=10.7395 alpha=90.00 beta=90.00 gamma=90.00
Closest atoms and distances in Å follow each position.
Atoms (fractional coordinates):
Sr (0.0000, 0.0000, 0.0000)  4 Rh 2.95
Bi (0.0000, 0.0000, 0.5000)  8 Rh 2.75
As (0.5000, 0.5000, 0.2197)  5 Rh 2.36-2.42
As (0.5000, 0.5000, 0.7803)  5 Rh 2.36-2.42
Rh (0.0000, 0.5000, 0.3334)  2 As 2.42
Rh (0.0000, 0.5000, 0.6666)  2 As 2.42
Rh (0.5000, 0.0000, 0.3334)  2 As 2.42
Rh (0.5000, 0.0000, 0.6666)  2 As 2.42
Rh (0.5000, 0.5000, 0.0000)  2 As 2.36

Computed properties:
* total DFT energy (no corrections): -6.1013 eV/atom
* symmetry: No. 123
* DOS at the Fermi energy: 4.6 states/eV/f.u.
* ΔE_f: -0.37 eV/atom

---

Here is a geometry-optimized LaBe4Cl structure from the Alexandria database. Energies are from PBE-GGA.

Unit cell a=5.3093 b=5.3093 c=5.3093 alpha=60.00 beta=60.00 gamma=60.00
Closest atoms and distances in Å follow each position.
Atoms (fractional coordinates):
La (0.0000, 0.0000, 0.0000)  12 Be 3.07, 4 Cl 3.25
Be (0.3509, 0.3509, 0.3509)  3 Be 2.14
Be (0.3509, 0.3509, 0.9474)  3 Be 2.14
Be (0.3509, 0.9474, 0.3509)  3 Be 2.14
Be (0.9474, 0.3509, 0.3509)  3 Be 2.14
Cl (0.7500, 0.7500, 0.7500)  12 Be 3.18, 4 La 3.25

Computed properties:
* total DFT energy (no corrections): -3.1601 eV/atom
* symmetry: No. 216
* DOS at the Fermi energy: 2.9 states/eV/f.u.
* energy relative to the elements, uncorrected: 0.453 eV per atom

---

Here is a geometry-optimized YPb structure from the Alexandria database. Energies are from PBE-GGA.

Unit cell a=3.6767 b=3.6767 c=5.0671 alpha=90.00 beta=90.00 gamma=120.00
Closest atoms and distances in Å follow each position.
Atoms (fractional coordinates):
Y (0.0000, 0.0000, 0.0000)  6 Pb 3.31, 6 Y 3.68
Pb (0.3333, 0.6667, 0.5000)  6 Y 3.31, 6 Pb 3.68

Computed properties:
* total DFT energy (no corrections): -5.4480 eV/atom
* symmetry: No. 187
* DOS at the Fermi energy: 1.6 states/eV/f.u.
* ΔE_f: -0.36 eV/atom

---

Here is a geometry-optimized Pr12Mg5Si3 structure from the Alexandria database. Energies are from PBE-GGA.

Unit cell a=15.6351 b=15.6351 c=15.6351 alpha=109.47 beta=109.47 gamma=109.47
Closest atoms and distances in Å follow each position.
Atoms (fractional coordinates):
Pr (0.0640, 0.6361, 0.4010)  1 Si 3.01, 2 Mg 3.12, 1 Pr 3.24
Pr (0.0640, 0.9279, 0.6630)  1 Si 3.01, 2 Mg 3.12, 1 Pr 3.24
Pr (0.0721, 0.2351, 0.1361)  1 Si 3.01, 2 Mg 3.12, 1 Pr 3.24
Pr (0.0721, 0.3370, 0.9360)  1 Si 3.01, 2 Mg 3.12, 1 Pr 3.24
Pr (0.0990, 0.7351, 0.6630)  1 Si 3.01, 2 Mg 3.12, 1 Pr 3.24
Pr (0.0990, 0.8639, 0.4360)  1 Si 3.01, 2 Mg 3.12, 1 Pr 3.24
Pr (0.1361, 0.0721, 0.2351)  1 Si 3.01, 2 Mg 3.12, 1 Pr 3.24
Pr (0.1361, 0.5640, 0.9010)  1 Si 3.01, 2 Mg 3.12, 1 Pr 3.24
Pr (0.1630, 0.2351, 0.5990)  1 Si 3.01, 2 Mg 3.12, 1 Pr 3.24
Pr (0.1630, 0.4279, 0.5640)  1 Si 3.01, 2 Mg 3.12, 1 Pr 3.24
Pr (0.2351, 0.1361, 0.0721)  1 Si 3.01, 2 Mg 3.12, 1 Pr 3.24
Pr (0.2351, 0.5990, 0.1630)  1 Si 3.01, 2 Mg 3.12, 1 Pr 3.24
Pr (0.2649, 0.3370, 0.9010)  1 Si 3.01, 2 Mg 3.12, 1 Pr 3.24
Pr (0.2649, 0.4279, 0.3639)  1 Si 3.01, 2 Mg 3.12, 1 Pr 3.24
Pr (0.3370, 0.9010, 0.2649)  1 Si 3.01, 2 Mg 3.12, 1 Pr 3.24
Pr (0.3370, 0.9360, 0.0721)  1 Si 3.01, 2 Mg 3.12, 1 Pr 3.24
Pr (0.3639, 0.2649, 0.4279)  1 Si 3.01, 2 Mg 3.12, 1 Pr 3.24
Pr (0.3639, 0.5990, 0.9360)  1 Si 3.01, 2 Mg 3.12, 1 Pr 3.24
Pr (0.4010, 0.0640, 0.6361)  1 Si 3.01, 2 Mg 3.12, 1 Pr 3.24
Pr (0.4010, 0.8370, 0.7649)  1 Si 3.01, 2 Mg 3.12, 1 Pr 3.24
Pr (0.4279, 0.3639, 0.2649)  1 Si 3.01, 2 Mg 3.12, 1 Pr 3.24
Pr (0.4279, 0.5640, 0.1630)  1 Si 3.01, 2 Mg 3.12, 1 Pr 3.24
Pr (0.4360, 0.0990, 0.8639)  1 Si 3.01, 2 Mg 3.12, 1 Pr 3.24
Pr (0.4360, 0.8370, 0.5721)  1 Si 3.01, 2 Mg 3.12, 1 Pr 3.24
Pr (0.5640, 0.1630, 0.4279)  1 Si 3.01, 2 Mg 3.12, 1 Pr 3.24
Pr (0.5640, 0.9010, 0.1361)  1 Si 3.01, 2 Mg 3.12, 1 Pr 3.24
Pr (0.5721, 0.4360, 0.8370)  1 Si 3.01, 2 Mg 3.12, 1 Pr 3.24
Pr (0.5721, 0.6361, 0.7351)  1 Si 3.01, 2 Mg 3.12, 1 Pr 3.24
Pr (0.5990, 0.1630, 0.2351)  1 Si 3.01, 2 Mg 3.12, 1 Pr 3.24
Pr (0.5990, 0.9360, 0.3639)  1 Si 3.01, 2 Mg 3.12, 1 Pr 3.24
Pr (0.6361, 0.4010, 0.0640)  1 Si 3.01, 2 Mg 3.12, 1 Pr 3.24
Pr (0.6361, 0.7351, 0.5721)  1 Si 3.01, 2 Mg 3.12, 1 Pr 3.24
Pr (0.6630, 0.0640, 0.9279)  1 Si 3.01, 2 Mg 3.12, 1 Pr 3.24
Pr (0.6630, 0.0990, 0.7351)  1 Si 3.01, 2 Mg 3.12, 1 Pr 3.24
Pr (0.7351, 0.5721, 0.6361)  1 Si 3.01, 2 Mg 3.12, 1 Pr 3.24
Pr (0.7351, 0.6630, 0.0990)  1 Si 3.01, 2 Mg 3.12, 1 Pr 3.24
Pr (0.7649, 0.4010, 0.8370)  1 Si 3.01, 2 Mg 3.12, 1 Pr 3.24
Pr (0.7649, 0.8639, 0.9279)  1 Si 3.01, 2 Mg 3.12, 1 Pr 3.24
Pr (0.8370, 0.5721, 0.4360)  1 Si 3.01, 2 Mg 3.12, 1 Pr 3.24
Pr (0.8370, 0.7649, 0.4010)  1 Si 3.01, 2 Mg 3.12, 1 Pr 3.24
Pr (0.8639, 0.4360, 0.0990)  1 Si 3.01, 2 Mg 3.12, 1 Pr 3.24
Pr (0.8639, 0.9279, 0.7649)  1 Si 3.01, 2 Mg 3.12, 1 Pr 3.24
Pr (0.9010, 0.1361, 0.5640)  1 Si 3.01, 2 Mg 3.12, 1 Pr 3.24
Pr (0.9010, 0.2649, 0.3370)  1 Si 3.01, 2 Mg 3.12, 1 Pr 3.24
Pr (0.9279, 0.6630, 0.0640)  1 Si 3.01, 2 Mg 3.12, 1 Pr 3.24
Pr (0.9279, 0.7649, 0.8639)  1 Si 3.01, 2 Mg 3.12, 1 Pr 3.24
Pr (0.9360, 0.0721, 0.3370)  1 Si 3.01, 2 Mg 3.12, 1 Pr 3.24
Pr (0.9360, 0.3639, 0.5990)  1 Si 3.01, 2 Mg 3.12, 1 Pr 3.24
Mg (0.0000, 0.0000, 0.0000)  6 Pr 3.12
Mg (0.0000, 0.0000, 0.5000)  6 Pr 3.12
Mg (0.0000, 0.5000, 0.0000)  6 Pr 3.12
Mg (0.0000, 0.5000, 0.5000)  6 Pr 3.12
Mg (0.1250, 0.7500, 0.8750)  4 Pr 3.12
Mg (0.1250, 0.8750, 0.2500)  4 Pr 3.12
Mg (0.2500, 0.1250, 0.8750)  4 Pr 3.12
Mg (0.2500, 0.6250, 0.3750)  4 Pr 3.12
Mg (0.3750, 0.2500, 0.6250)  4 Pr 3.12
Mg (0.3750, 0.6250, 0.7500)  4 Pr 3.12
Mg (0.5000, 0.0000, 0.0000)  6 Pr 3.12
Mg (0.5000, 0.0000, 0.5000)  6 Pr 3.12
Mg (0.5000, 0.5000, 0.0000)  6 Pr 3.12
Mg (0.5000, 0.5000, 0.5000)  6 Pr 3.12
Mg (0.6250, 0.3750, 0.2500)  4 Pr 3.12
Mg (0.6250, 0.7500, 0.3750)  4 Pr 3.12
Mg (0.7500, 0.3750, 0.6250)  4 Pr 3.12
Mg (0.7500, 0.8750, 0.1250)  4 Pr 3.12
Mg (0.8750, 0.1250, 0.7500)  4 Pr 3.12
Mg (0.8750, 0.2500, 0.1250)  4 Pr 3.12
Si (0.1250, 0.2500, 0.3750)  4 Pr 3.01
Si (0.1250, 0.3750, 0.7500)  4 Pr 3.01
Si (0.2500, 0.3750, 0.1250)  4 Pr 3.01
Si (0.2500, 0.8750, 0.6250)  4 Pr 3.01
Si (0.3750, 0.1250, 0.2500)  4 Pr 3.01
Si (0.3750, 0.7500, 0.1250)  4 Pr 3.01
Si (0.6250, 0.2500, 0.8750)  4 Pr 3.01
Si (0.6250, 0.8750, 0.7500)  4 Pr 3.01
Si (0.7500, 0.1250, 0.3750)  4 Pr 3.01
Si (0.7500, 0.6250, 0.8750)  4 Pr 3.01
Si (0.8750, 0.6250, 0.2500)  4 Pr 3.01
Si (0.8750, 0.7500, 0.6250)  4 Pr 3.01

Computed properties:
* total DFT energy (no corrections): -3.7366 eV/atom
* symmetry: No. 230
* DOS at the Fermi energy: 27.1 states/eV/f.u.
* energy relative to the elements, uncorrected: 0.343 eV per atom

---

Here is a geometry-optimized ZnTcSe2Br structure from the Alexandria database. Energies are from PBE-GGA.

Unit cell a=4.8974 b=4.8974 c=5.2041 alpha=90.00 beta=90.00 gamma=90.00
Closest atoms and distances in Å follow each position.
Atoms (fractional coordinates):
Zn (0.0000, 0.0000, 0.0000)  4 Se 2.45, 2 Br 2.60
Tc (0.5000, 0.5000, 0.5000)  4 Br 3.46, 8 Se 3.57
Se (0.0000, 0.5000, 0.0000)  2 Zn 2.45
Se (0.5000, 0.0000, 0.0000)  2 Zn 2.45
Br (0.0000, 0.0000, 0.5000)  2 Zn 2.60

Computed properties:
* total DFT energy (no corrections): -3.3022 eV/atom
* symmetry: No. 123
* DOS at the Fermi energy: 1.9 states/eV/f.u.
* energy relative to the elements, uncorrected: 0.754 eV per atom

---

Here is a geometry-optimized TlSb2Rh structure from the Alexandria database. Energies are from PBE-GGA.

Unit cell a=3.3197 b=3.3197 c=8.6876 alpha=90.00 beta=90.00 gamma=90.00
Closest atoms and distances in Å follow each position.
Atoms (fractional coordinates):
Tl (0.0000, 0.0000, 0.0000)  4 Tl 3.32, 8 Sb 3.60
Sb (0.5000, 0.5000, 0.3145)  4 Rh 2.85
Sb (0.5000, 0.5000, 0.6855)  4 Rh 2.85
Rh (0.0000, 0.0000, 0.5000)  8 Sb 2.85

Computed properties:
* total DFT energy (no corrections): -4.6632 eV/atom
* symmetry: No. 123
* DOS at the Fermi energy: 2.3 states/eV/f.u.
* energy relative to the elements, uncorrected: -0.173 eV per atom

---

Here is a geometry-optimized Mg5CdIn2Rh2 structure from the Alexandria database. Energies are from PBE-GGA.

Unit cell a=9.6676 b=9.6676 c=4.2540 alpha=90.00 beta=90.00 gamma=90.00
Closest atoms and distances in Å follow each position.
Atoms (fractional coordinates):
Mg (0.0000, 0.5000, 0.0000)  4 Rh 2.69, 4 Mg 2.92
Mg (0.0802, 0.2083, 0.0000)  2 Rh 2.73, 2 Mg 2.89-2.92, 2 Cd 3.03
Mg (0.2083, 0.9198, 0.0000)  2 Rh 2.73, 2 Mg 2.89-2.92, 2 Cd 3.03
Mg (0.2917, 0.4198, 0.0000)  2 Rh 2.73, 2 Mg 2.89-2.92, 2 Cd 3.03
Mg (0.4198, 0.7083, 0.0000)  2 Rh 2.73, 2 Mg 2.89-2.92, 2 Cd 3.03
Mg (0.5000, 0.0000, 0.0000)  4 Rh 2.69, 4 Mg 2.92
Mg (0.5802, 0.2917, 0.0000)  2 Rh 2.73, 2 Mg 2.89-2.92, 2 Cd 3.03
Mg (0.7083, 0.5802, 0.0000)  2 Rh 2.73, 2 Mg 2.89-2.92, 2 Cd 3.03
Mg (0.7917, 0.0802, 0.0000)  2 Rh 2.73, 2 Mg 2.89-2.92, 2 Cd 3.03
Mg (0.9198, 0.7917, 0.0000)  2 Rh 2.73, 2 Mg 2.89-2.92, 2 Cd 3.03
Cd (0.0000, 0.0000, 0.5000)  8 Mg 3.03
Cd (0.5000, 0.5000, 0.5000)  8 Mg 3.03
In (0.1718, 0.6718, 0.5000)  3 Rh 2.85-2.87, 2 Mg 3.17
In (0.3282, 0.1718, 0.5000)  3 Rh 2.85-2.87, 2 Mg 3.17
In (0.6718, 0.8282, 0.5000)  3 Rh 2.85-2.87, 2 Mg 3.17
In (0.8282, 0.3282, 0.5000)  3 Rh 2.85-2.87, 2 Mg 3.17
Rh (0.1200, 0.3800, 0.5000)  6 Mg 2.69-2.73, 3 In 2.85-2.87
Rh (0.3800, 0.8800, 0.5000)  6 Mg 2.69-2.73, 3 In 2.85-2.87
Rh (0.6200, 0.1200, 0.5000)  6 Mg 2.69-2.73, 3 In 2.85-2.87
Rh (0.8800, 0.6200, 0.5000)  6 Mg 2.69-2.73, 3 In 2.85-2.87

Computed properties:
* total DFT energy (no corrections): -3.1860 eV/atom
* symmetry: No. 127
* DOS at the Fermi energy: 3.8 states/eV/f.u.
* ΔE_f: -0.28 eV/atom

---

Here is a geometry-optimized Ti2BeH structure from the Alexandria database. Energies are from PBE-GGA.

Unit cell a=6.1597 b=6.1597 c=6.1597 alpha=33.82 beta=33.82 gamma=33.82
Closest atoms and distances in Å follow each position.
Atoms (fractional coordinates):
Ti (0.1038, 0.1038, 0.1038)  1 H 1.81
Ti (0.8962, 0.8962, 0.8962)  1 H 1.81
Be (0.5000, 0.5000, 0.5000)  6 Ti 2.34
H (0.0000, 0.0000, 0.0000)  2 Ti 1.81

Computed properties:
* total DFT energy (no corrections): -5.2372 eV/atom
* symmetry: No. 166
* DOS at the Fermi energy: 4.3 states/eV/f.u.

---

Here is a geometry-optimized TiP2S6 structure from the Alexandria database. Energies are from PBE-GGA.

Unit cell a=8.0537 b=8.0537 c=8.0537 alpha=44.59 beta=44.59 gamma=44.59
Closest atoms and distances in Å follow each position.
Atoms (fractional coordinates):
Ti (0.0000, 0.0000, 0.0000)  6 S 2.46
P (0.6165, 0.6165, 0.6165)  3 S 2.04, 1 P 2.18
P (0.7168, 0.7168, 0.7168)  3 S 2.04, 1 P 2.18
S (0.0341, 0.7954, 0.3952)  1 P 2.04
S (0.2455, 0.6453, 0.8844)  1 P 2.04
S (0.3952, 0.0341, 0.7954)  1 P 2.04
S (0.6453, 0.8844, 0.2455)  1 P 2.04
S (0.7954, 0.3952, 0.0341)  1 P 2.04
S (0.8844, 0.2455, 0.6453)  1 P 2.04

Computed properties:
* total DFT energy (no corrections): -5.3933 eV/atom
* symmetry: No. 146
* energy relative to the elements, uncorrected: -0.562 eV per atom

---

Here is a geometry-optimized Zn5Ni structure from the Alexandria database. Energies are from PBE-GGA.

Unit cell a=5.1719 b=5.1719 c=6.3592 alpha=103.76 beta=103.76 gamma=30.20
Closest atoms and distances in Å follow each position.
Atoms (fractional coordinates):
Zn (0.0000, 0.0000, 0.0000)  10 Zn 2.58-2.84, 2 Ni 2.70
Zn (0.0510, 0.0510, 0.6217)  9 Zn 2.58-2.70, 3 Ni 2.62-2.78
Zn (0.3914, 0.3914, 0.2894)  1 Ni 2.61, 11 Zn 2.66-2.77
Zn (0.6759, 0.6759, 0.3550)  2 Ni 2.60, 10 Zn 2.66-2.85
Zn (0.7310, 0.7310, 0.9360)  2 Ni 2.58, 10 Zn 2.62-2.85
Ni (0.3351, 0.3351, 0.6683)  10 Zn 2.58-2.78, 2 Ni 2.69

Computed properties:
* total DFT energy (no corrections): -2.1128 eV/atom
* symmetry: No. 8
* DOS at the Fermi energy: 2.3 states/eV/f.u.
* ΔE_f: -0.09 eV/atom